No. 1
VASP calculation (PBE) on a geometry-optimized Ho2Si2Ir5 structure.

Structure (extended XYZ):
```
9
Lattice="4.122 0.000 0.000 0.000 4.122 0.000 0.000 0.000 8.829" Properties=species:S:1:pos:R:3 pbc="T T T"
Ho 0.000 0.000 0.000
Ho 0.000 0.000 4.414
Si 2.061 2.061 1.203
Si 2.061 2.061 7.626
Ir 0.000 2.061 2.360
Ir 0.000 2.061 6.468
Ir 2.061 0.000 2.360
Ir 2.061 0.000 6.468
Ir 2.061 2.061 4.414
```

The formation energy from raw total energies is -0.82 eV per atom. For the density of states at the Fermi level, the calculation gives 3.9 states/eV per cell. The calculation puts the size of the total moment at 0.00 μB/cell. The value obtained for the final energy is -71.67 eV for the cell shown.

No. 2
VASP calculation (PBE) on a geometry-optimized HoSi3Ir6 structure.

Structure (extended XYZ):
```
10
Lattice="5.462 0.000 0.000 2.722 4.826 0.000 2.289 1.591 5.942" Properties=species:S:1:pos:R:3 pbc="T T T"
Ho 0.000 0.000 0.000
Si 2.447 1.690 0.808
Si 5.651 3.348 0.788
Si 8.058 5.098 2.906
Ir 3.606 3.883 4.737
Ir 5.052 4.982 2.583
Ir 4.184 2.315 2.352
Ir 6.335 4.031 5.149
Ir 5.072 1.599 4.881
Ir 6.979 2.919 2.740
```

The formation energy from raw total energies is -0.62 eV per atom. For the density of states at the Fermi level, the calculation gives 6.3 states/eV per cell. The calculation puts the size of the total moment at 0.00 μB/cell. The value obtained for the final energy is -80.23 eV for the cell shown.

No. 3
VASP calculation (PBE) on a geometry-optimized HoSi6Ir3 structure.

Structure (extended XYZ):
```
20
Lattice="8.020 0.000 0.000 0.000 3.894 0.000 -3.964 0.000 10.570" Properties=species:S:1:pos:R:3 pbc="T T T"
Ho -0.608 0.974 3.178
Ho 4.664 2.921 7.392
Si -3.511 0.974 9.725
Si -1.072 2.921 5.178
Si 1.555 2.921 2.220
Si -0.685 2.921 8.285
Si 2.868 0.974 0.766
Si 1.332 0.974 5.553
Si 2.725 2.921 5.016
Si 1.188 2.921 9.804
Si 4.741 0.974 2.285
Si 2.501 0.974 8.349
Si 5.128 0.974 5.392
Si 7.567 2.921 0.845
Ir -2.142 2.921 10.288
Ir -0.720 0.974 6.598
Ir 2.457 0.974 3.386
Ir 1.599 2.921 7.183
Ir 4.776 2.921 3.972
Ir 6.198 0.974 0.282
```

The formation energy from raw total energies is -0.58 eV per atom. For the density of states at the Fermi level, the calculation gives 6.1 states/eV per cell. The calculation puts the size of the total moment at 0.00 μB/cell. The value obtained for the final energy is -138.97 eV for the cell shown.

No. 4
VASP calculation (PBE) on a geometry-optimized Ho4Si3Ir structure.

Structure (extended XYZ):
```
8
Lattice="3.839 0.000 0.000 0.000 4.228 0.000 0.000 0.000 10.626" Properties=species:S:1:pos:R:3 pbc="T T T"
Ho 0.000 0.000 0.000
Ho 0.000 2.114 5.258
Ho 1.919 0.000 2.964
Ho 1.919 2.114 8.313
Si 0.000 0.000 7.508
Si 0.000 2.114 2.254
Si 1.919 0.000 5.967
Ir 1.919 2.114 0.669
```

The formation energy from raw total energies is -0.84 eV per atom. For the density of states at the Fermi level, the calculation gives 6.0 states/eV per cell. The calculation puts the size of the total moment at 0.00 μB/cell. The value obtained for the final energy is -50.16 eV for the cell shown.

No. 5
VASP calculation (PBE) on a geometry-optimized HoSi2Ir4 structure.

Structure (extended XYZ):
```
28
Lattice="16.617 0.000 0.000 0.000 3.996 0.000 0.000 0.000 6.541" Properties=species:S:1:pos:R:3 pbc="T T T"
Ho 2.273 0.999 0.148
Ho 6.036 2.997 3.419
Ho 10.581 0.999 3.123
Ho 14.344 2.997 6.393
Si 0.707 2.997 1.710
Si 3.779 0.999 3.475
Si 4.530 2.997 0.204
Si 7.601 0.999 4.980
Si 9.015 2.997 1.561
Si 12.087 0.999 6.337
Si 12.838 2.997 3.066
Si 15.910 0.999 4.831
Ir 0.471 2.997 5.482
Ir 1.386 0.999 3.488
Ir 3.088 2.997 2.121
Ir 3.168 2.997 4.803
Ir 5.140 0.999 1.533
Ir 5.220 0.999 5.392
Ir 6.922 2.997 0.218
Ir 7.837 0.999 2.212
Ir 8.779 2.997 4.329
Ir 9.694 0.999 6.323
Ir 11.396 2.997 1.149
Ir 11.476 2.997 5.008
Ir 13.449 0.999 1.738
Ir 13.528 0.999 4.420
Ir 15.231 2.997 3.053
Ir 16.145 0.999 1.059
```

The formation energy from raw total energies is -0.74 eV per atom. For the density of states at the Fermi level, the calculation gives 11.1 states/eV per cell. The calculation puts the size of the total moment at 0.00 μB/cell. As for the energy above the lowest structure with this stoichiometry: 0 meV/atom. The value obtained for the final energy is -224.08 eV for the cell shown.

No. 6
VASP calculation (PBE) on a geometry-optimized Ho2Si5Ir3 structure.

Structure (extended XYZ):
```
20
Lattice="5.773 -5.719 0.000 5.773 5.719 0.000 -2.907 0.000 5.037" Properties=species:S:1:pos:R:3 pbc="T T T"
Ho 1.982 1.497 1.152
Ho 0.529 -1.497 3.671
Ho 8.111 1.497 1.366
Ho 6.658 -1.497 3.885
Si 3.593 5.706 3.778
Si 1.523 1.216 4.250
Si 3.593 2.587 3.778
Si 5.047 2.574 1.259
Si 2.976 -1.216 1.731
Si 5.663 1.216 3.306
Si 3.593 -2.574 3.778
Si 5.047 -2.587 1.259
Si 7.117 -1.216 0.788
Si 5.047 -5.706 1.259
Ir 3.335 4.121 1.936
Ir 6.758 4.121 0.583
Ir 5.047 0.005 1.259
Ir 3.593 -0.005 3.778
Ir 1.882 -4.121 4.454
Ir 5.305 -4.121 3.102
```

The formation energy from raw total energies is -0.97 eV per atom. For the density of states at the Fermi level, the calculation gives 8.5 states/eV per cell. The calculation puts the size of the total moment at 0.00 μB/cell. The value obtained for the final energy is -145.11 eV for the cell shown.